[1]
Pr3Al7Cu4 | PBE | optimized geometry

Calculated values
The calculation puts the formation energy from the elements at -0.399 eV/atom. The symmetry is C2/m, No. 12. The calculation puts the volume at 266.0 Å³/cell. As for the magnetic moment: 0.00 Bohr magnetons per cell.

Geometry as POSCAR:
```
Pr3Al7Cu4
1.0
-2.074 2.361 2.920
-1.829 -5.235 6.085
5.526 1.041 6.232
Pr Al Cu
3 7 4
Direct
0.310 0.189 0.190
0.690 0.811 0.810
0.000 0.500 0.500
0.326 0.823 0.526
0.497 0.220 0.787
0.847 0.387 0.918
0.674 0.177 0.474
0.153 0.613 0.082
0.000 0.000 0.000
0.503 0.780 0.213
0.659 0.466 0.216
0.341 0.534 0.784
0.875 0.904 0.347
0.125 0.096 0.653
```


[2]
DySiPd2 | PBE | optimized geometry

Calculated values
The symmetry is Pnma, No. 62. Its energy relative to the elements, uncorrected is -0.979 eV/atom. The calculation puts the volume at 284.3 Å³/cell. As for the magnetic moment: 0.00 Bohr magnetons per cell.

Geometry as POSCAR:
```
DySiPd2
1.0
-5.441 0.775 -0.694
0.530 -2.213 -6.623
-1.261 -6.877 2.197
Si Pd Dy
4 8 4
Direct
0.359 0.750 0.122
0.641 0.250 0.878
0.859 0.250 0.378
0.141 0.750 0.622
0.094 0.552 0.322
0.094 0.948 0.322
0.406 0.552 0.822
0.906 0.448 0.678
0.594 0.448 0.178
0.906 0.052 0.678
0.406 0.948 0.822
0.594 0.052 0.178
0.141 0.250 0.027
0.359 0.250 0.527
0.641 0.750 0.473
0.859 0.750 0.973
```


[3]
Cs2TiI7 | PBE | optimized geometry

Calculated values
The symmetry is I4/mmm, No. 139. Its energy relative to the elements, uncorrected is -0.873 eV/atom. The calculation puts the volume at 511.8 Å³/cell. As for the magnetic moment: 0.00 Bohr magnetons per cell.

Geometry as POSCAR:
```
Cs2TiI7
1.0
-3.801 7.566 2.435
-2.846 -3.816 7.414
2.229 3.680 7.985
Cs I Ti
2 7 1
Direct
0.750 0.250 0.500
0.250 0.750 0.500
0.000 0.000 0.000
0.291 0.291 0.418
0.709 0.709 0.582
0.276 0.276 0.000
0.724 0.724 0.000
0.724 0.276 0.000
0.276 0.724 0.000
0.500 0.500 0.000
```


Please write out number 1 again, unchanged.
Pr3Al7Cu4 | PBE | optimized geometry

Calculated values
The calculation puts the formation energy from the elements at -0.399 eV/atom. The symmetry is C2/m, No. 12. The calculation puts the volume at 266.0 Å³/cell. As for the magnetic moment: 0.00 Bohr magnetons per cell.

Geometry as POSCAR:
```
Pr3Al7Cu4
1.0
-2.074 2.361 2.920
-1.829 -5.235 6.085
5.526 1.041 6.232
Pr Al Cu
3 7 4
Direct
0.310 0.189 0.190
0.690 0.811 0.810
0.000 0.500 0.500
0.326 0.823 0.526
0.497 0.220 0.787
0.847 0.387 0.918
0.674 0.177 0.474
0.153 0.613 0.082
0.000 0.000 0.000
0.503 0.780 0.213
0.659 0.466 0.216
0.341 0.534 0.784
0.875 0.904 0.347
0.125 0.096 0.653
```